1.
Entry from the Alexandria database: crystalline DyThMgRu at its relaxed geometry (PBE-GGA).

Cell lengths 5.118, 5.118, 5.118 Å; angles 60.00, 60.00, 60.00 degrees
Element x y z (fractional)
Ru 0.750 0.750 0.750
Th 0.000 0.000 0.000
Mg 0.250 0.250 0.250
Dy 0.500 0.500 0.500

Summary:
Mass density = 9109 kg/m³
Magnetization = 0.000 μB/f.u.
Space-group type = F-43m

2.
Entry from the Alexandria database: crystalline Dy2YHo9 at its relaxed geometry (PBE-GGA).

Cell lengths 4.996, 4.996, 14.986 Å; angles 90.00, 90.00, 90.00 degrees
Element x y z (fractional)
Ho 0.000 0.500 0.500
Ho 0.500 0.000 0.833
Ho 0.500 0.000 0.167
Ho 0.500 0.500 0.000
Ho 0.500 0.500 0.666
Ho 0.000 0.500 0.833
Ho 0.500 0.000 0.500
Ho 0.500 0.500 0.334
Ho 0.000 0.500 0.167
Dy 0.000 0.000 0.333
Dy 0.000 0.000 0.667
Y 0.000 0.000 0.000

Summary:
Relative energy among the computed polymorphs = 0 kJ/mol of formula units
Mass density = 8426 kg/m³
Magnetization = 0.000 μB/f.u.
Space-group type = P4/mmm

The records above give, respectively, energy of formation values of -0.5, 0.3 eV/f.u..